First-principles (meta-GGA SCAN) data for a crystal of Ga3PI relaxed with PBEsol, as listed in Alexandria via LeMat-Bulk.

Calculated values
The value obtained for the volume is 25.02 Å³ per atom. The formation energy from raw total energies comes out at 280.2 meV/atom.

```
data_Ga3PI
_symmetry_space_group_name_H-M 'P 1'
_symmetry_Int_Tables_number 1
_cell_length_a 5.001
_cell_length_b 5.001
_cell_length_c 5.001
_cell_angle_alpha 90.00
_cell_angle_beta 90.00
_cell_angle_gamma 90.00
loop_
_symmetry_equiv_pos_as_xyz
'x,y,z'
loop_
_atom_site_label
_atom_site_type_symbol
_atom_site_fract_x
_atom_site_fract_y
_atom_site_fract_z
Ga1 Ga 0.000 0.000 0.500
Ga2 Ga 0.000 0.500 0.000
Ga3 Ga 0.500 0.000 0.000
P1 P 0.000 0.000 0.000
I1 I 0.500 0.500 0.500
```